Material: NaMgBr2
Method: DFT, GGA-PBE
State: optimized geometry

a b c (Å): 8.887 8.887 8.887
angles (deg): 27.30 27.30 27.30
Fractional coordinates of all 4 atoms:
Na: 0.000 0.000 0.000
Mg: 0.500 0.500 0.500
Br: 0.400 0.400 0.400
Br: 0.600 0.600 0.600

Results
**SG**: No. 166
**Offset from the most stable computed form**: 46 meV per atom

---

Material: NaMgBr2
Method: DFT, GGA-PBE
State: optimized geometry

a b c (Å): 5.297 5.297 5.297
angles (deg): 60.00 60.00 60.00
Fractional coordinates of all 4 atoms:
Na: 0.000 0.000 0.000
Mg: 0.500 0.500 0.500
Br: 0.250 0.250 0.250
Br: 0.750 0.750 0.750

Results
**SG**: No. 225
**Offset from the most stable computed form**: 183 meV per atom

---

Material: Na3MgBr4
Method: DFT, GGA-PBE
State: optimized geometry

a b c (Å): 10.177 8.959 5.955
angles (deg): 90.00 90.00 90.00
Fractional coordinates of all 16 atoms:
Na: 0.000 0.166 0.000
Na: 0.249 0.334 0.500
Na: 0.251 0.666 0.000
Na: 0.500 0.834 0.500
Na: 0.749 0.666 0.000
Na: 0.751 0.334 0.500
Mg: 0.000 0.833 0.500
Mg: 0.500 0.167 0.000
Br: 0.000 0.165 0.499
Br: 0.000 0.835 0.999
Br: 0.250 0.335 0.000
Br: 0.250 0.665 0.500
Br: 0.500 0.165 0.499
Br: 0.500 0.835 0.999
Br: 0.750 0.335 0.000
Br: 0.750 0.665 0.500

Results
**SG**: No. 31

---

Material: NaMgBr3
Method: DFT, GGA-PBE
State: optimized geometry

a b c (Å): 5.333 5.333 5.333
angles (deg): 90.00 90.00 90.00
Fractional coordinates of all 5 atoms:
Na: 0.000 0.000 0.000
Mg: 0.500 0.500 0.500
Br: 0.000 0.000 0.500
Br: 0.000 0.500 0.000
Br: 0.500 0.000 0.000

Results
**SG**: No. 221
**Offset from the most stable computed form**: 835 meV per atom

---

Material: Na2Mg3Br8
Method: DFT, GGA-PBE
State: optimized geometry

a b c (Å): 8.308 8.308 6.853
angles (deg): 103.57 103.57 57.08
Fractional coordinates of all 13 atoms:
Na: 0.232 0.232 0.144
Na: 0.768 0.768 0.856
Mg: 0.242 0.758 0.500
Mg: 0.500 0.500 0.000
Mg: 0.758 0.242 0.500
Br: 0.111 0.111 0.424
Br: 0.157 0.625 0.113
Br: 0.375 0.843 0.887
Br: 0.395 0.395 0.607
Br: 0.605 0.605 0.393
Br: 0.625 0.157 0.113
Br: 0.843 0.375 0.887
Br: 0.889 0.889 0.576

Results
**SG**: No. 12

---

Material: Na5MgBr8
Method: DFT, GGA-PBE
State: optimized geometry

a b c (Å): 8.371 8.371 8.371
angles (deg): 105.07 105.07 118.68
Fractional coordinates of all 14 atoms:
Na: 0.000 0.000 0.000
Na: 0.113 0.146 0.513
Na: 0.400 0.887 0.034
Na: 0.633 0.600 0.487
Na: 0.854 0.367 0.966
Mg: 0.250 0.750 0.500
Br: 0.327 0.630 0.234
Br: 0.366 0.153 0.311
Br: 0.370 0.604 0.697
Br: 0.396 0.093 0.766
Br: 0.843 0.055 0.689
Br: 0.847 0.157 0.212
Br: 0.907 0.673 0.303
Br: 0.945 0.634 0.788

Results
**SG**: No. 82

---

Material: Na2MgBr4
Method: DFT, GGA-PBE
State: optimized geometry

a b c (Å): 7.437 12.805 4.073
angles (deg): 90.00 90.00 90.00
Fractional coordinates of all 14 atoms:
Na: 0.092 0.181 0.000
Na: 0.408 0.681 0.000
Na: 0.592 0.319 0.000
Na: 0.908 0.819 0.000
Mg: 0.000 0.500 0.500
Mg: 0.500 0.000 0.500
Br: 0.116 0.697 0.500
Br: 0.239 0.458 0.000
Br: 0.261 0.958 0.000
Br: 0.384 0.197 0.500
Br: 0.616 0.803 0.500
Br: 0.739 0.042 0.000
Br: 0.761 0.542 0.000
Br: 0.884 0.303 0.500

Results
**SG**: No. 55

---

Material: NaMgBr3
Method: DFT, GGA-PBE
State: optimized geometry

a b c (Å): 7.073 7.073 6.811
angles (deg): 90.00 90.00 120.00
Fractional coordinates of all 10 atoms:
Na: 0.000 0.000 0.000
Na: 0.000 0.000 0.500
Mg: 0.667 0.333 0.000
Mg: 0.667 0.333 0.500
Br: 0.366 0.036 0.250
Br: 0.366 0.330 0.750
Br: 0.670 0.036 0.750
Br: 0.670 0.634 0.250
Br: 0.964 0.330 0.250
Br: 0.964 0.634 0.750

Results
**SG**: No. 188
**Offset from the most stable computed form**: 0 meV per atom

---

no.,uncorrected formation energy (meV per atom)
1,-997
2,-860
3,-1266
4,-629
5,-1488
6,-1323
7,-1507
8,-1463